# 1
# NaHgTe2

NaHgTe2 after structural relaxation (PBE-GGA, the Alexandria database).

The calculation puts the formation energy without anion corrections at -0.30 eV/atom.

It has space group I-42d (No. 122), with a = 8.308 Å, b = 8.308 Å, c = 7.011 Å, α = 90.00°, β = 90.00° and γ = 90.00°. The asymmetric unit holds Na at (0.000, 0.000, 0.000), Hg at (0.000, 0.000, 0.500) and Te at (0.223, 0.250, 0.625).

# 2
# Nd2ZnIrO6

Nd2ZnIrO6 after structural relaxation (PBE-GGA, the Alexandria database).

The calculation puts the formation energy without anion corrections at -2.18 eV/atom.

It has space group P2_1/c (No. 14), with a = 5.481 Å, b = 5.884 Å, c = 9.537 Å, α = 90.00°, β = 124.78° and γ = 90.00°. The asymmetric unit holds Nd at (0.229, 0.073, 0.251), Zn at (0.500, 0.000, 0.000), Ir at (0.000, 0.000, 0.500), O at (0.127, 0.203, 0.945), O at (0.252, 0.693, 0.947) and O at (0.354, 0.034, 0.746).

# 3
# SnH2S2

SnH2S2 after structural relaxation (PBE-GGA, the Alexandria database).

The calculation puts the excess energy over the best structure of this formula in the dataset at 0.000 eV/atom.

It has space group P-1 (No. 2), with a = 4.302 Å, b = 6.410 Å, c = 7.454 Å, α = 94.02°, β = 98.23° and γ = 90.68°. The asymmetric unit holds Sn at (0.201, 0.222, 0.105), H at (0.190, 0.981, 0.644), H at (0.223, 0.669, 0.325), S at (0.195, 0.770, 0.649) and S at (0.309, 0.628, 0.157).

# 4
# TiAlBr2

TiAlBr2 after structural relaxation (PBE-GGA, the Alexandria database).

The calculation puts the excess energy over the best structure of this formula in the dataset at 0.000 eV/atom. The calculation puts the formation energy without anion corrections at -0.42 eV/atom.

It has space group R-3m (No. 166, hexagonal axes), with a = 3.3628 Å, b = 3.3628 Å, c = 29.3096 Å, α = 90.00°, β = 90.00° and γ = 120.00°. The asymmetric unit holds Ti at (0.0000, 0.0000, 0.0000), Al at (0.0000, 0.0000, 0.5000) and Br at (0.0000, 0.0000, 0.3936).

Taking the records one at a time from the top gives density of states at the Fermi level values of 1.36; 6.76; 0.00; 1.69 states/eV/f.u..